1.
# Bi3IF PBE optimized geometry
data_Bi3IF
_space_group_name_H-M_alt 'P m -3 m'
_space_group_IT_number 221
_space_group_name_Hall '-P 4 2 3'
_cell_length_a 5.9471
_cell_length_b 5.9471
_cell_length_c 5.9471
_cell_angle_alpha 90.00
_cell_angle_beta 90.00
_cell_angle_gamma 90.00
loop_
_atom_site_label
_atom_site_fract_x
_atom_site_fract_y
_atom_site_fract_z
Bi1 0.0000 0.0000 0.5000
I1 0.0000 0.0000 0.0000
F1 0.5000 0.5000 0.5000
# Energy above the most stable polymorph in this dataset, eV/atom: 0.8367
# E_form (uncorrected), eV/atom: 0.75


2.
# Cs2NpSbO6 PBE optimized geometry
data_Cs2NpSbO6
_space_group_name_H-M_alt 'F m -3 m'
_space_group_IT_number 225
_space_group_name_Hall '-F 4 2 3'
_cell_length_a 8.8242
_cell_length_b 8.8242
_cell_length_c 8.8242
_cell_angle_alpha 90.00
_cell_angle_beta 90.00
_cell_angle_gamma 90.00
loop_
_atom_site_label
_atom_site_fract_x
_atom_site_fract_y
_atom_site_fract_z
Cs1 0.2500 0.2500 0.2500
Np1 0.0000 0.0000 0.0000
Sb1 0.0000 0.0000 0.5000
O1 0.0000 0.0000 0.2332
# E_form (uncorrected), eV/atom: -1.97


no.,energy (hartree per atom),total magnetization (μB per formula unit)
1,-0.08299,0.0
2,-0.25078,0.1